[1]
This record from the Open Quantum Materials Database describes a relaxed structure of LiTe3PbAu. The functional is GGA-PBE.

abc: 4.1178 13.4992 12.3963
angles: 90.00 90.00 90.00
Space group Cmcm (No. 63)
Asymmetric unit:
1 Li 0.0000 0.1951 0.2500 x4
2 Te 0.0000 0.0930 0.7500 x4
3 Te 0.0000 0.3266 0.5765 x8
4 Pb 0.0000 0.0000 0.0000 x4
5 Au 0.0000 0.4596 0.7500 x4

Results
The total energy comes out at -3.322 eV/atom.

---

[2]
This record from the Open Quantum Materials Database describes a relaxed structure of Nd2Sb2O5. The functional is GGA-PBE.

abc: 3.8773 3.8773 9.8436
angles: 90.00 90.00 90.00
Space group P4/mmm (No. 123)
Asymmetric unit:
1 Nd 0.0000 0.0000 0.2440 x2
2 Sb 0.5000 0.5000 0.0000 x1
3 Sb 0.5000 0.5000 0.5000 x1
4 O 0.0000 0.0000 0.0000 x1
5 O 0.0000 0.5000 0.3683 x4

Results
The total energy comes out at -6.673 eV/atom. The calculation puts the polymorph energy (0 for the lowest one) at 0.00 kJ/mol of atoms. The total magnetization comes out at 0.00 μB/f.u.

---

[3]
This record from the Open Quantum Materials Database describes a relaxed structure of Er2AlCl. The functional is GGA-PBE.

abc: 3.5128 3.5128 17.4869
angles: 90.00 90.00 120.00
Space group P6_3/mmc (No. 194)
Asymmetric unit:
1 Er 0.3333 0.6667 0.1207 x4
2 Al 0.3333 0.6667 0.7500 x2
3 Cl 0.0000 0.0000 0.0000 x2

Results
The total energy comes out at -4.372 eV/atom. The total magnetization comes out at 0.01 μB/f.u.

---

[4]
This record from the Open Quantum Materials Database describes a relaxed structure of Li2NdCuAs2. The functional is GGA-PBE.

abc: 4.2421 4.2421 6.7652
angles: 90.00 90.00 120.00
Space group P-3m1 (No. 164)
Asymmetric unit:
1 Li 0.3333 0.6667 0.1422 x2
2 Nd 0.0000 0.0000 0.5000 x1
3 Cu 0.0000 0.0000 0.0000 x1
4 As 0.3333 0.6667 0.7616 x2

Results
The total energy comes out at -4.355 eV/atom. The total magnetization comes out at 0.00 μB/f.u.

---

[5]
This record from the Open Quantum Materials Database describes a relaxed structure of KFeCuTe3. The functional is GGA-PBE.

abc: 15.6159 3.9269 10.3739
angles: 90.00 90.00 90.00
Space group Pnma (No. 62)
Asymmetric unit:
1 K 0.2324 0.2500 0.0527 x4
2 Fe 0.0143 0.2500 0.3292 x4
3 Cu 0.0128 0.7500 0.0856 x4
4 Te 0.0735 0.2500 0.5675 x4
5 Te 0.0939 0.7500 0.8617 x4
6 Te 0.1209 0.7500 0.2761 x4

Results
The total energy comes out at -4.057 eV/atom. The total magnetization comes out at 1.42 μB/f.u.

---

[6]
This record from the Open Quantum Materials Database describes a relaxed structure of LaZn12. The functional is GGA-PBE.

abc: 8.9589 8.9589 5.1852
angles: 90.00 90.00 90.00
Space group I4/mmm (No. 139)
Asymmetric unit:
1 La 0.0000 0.0000 0.0000 x2
2 Zn 0.0000 0.2227 0.5000 x8
3 Zn 0.0000 0.3566 0.0000 x8
4 Zn 0.2500 0.2500 0.2500 x8

Results
The total energy comes out at -1.741 eV/atom. The total magnetization comes out at 0.01 μB/f.u.

---

[7]
This record from the Open Quantum Materials Database describes a relaxed structure of HoTm2Ge4Pd4. The functional is GGA-PBE.

abc: 4.1453 7.1094 13.9078
angles: 90.00 90.00 90.00
Space group Immm (No. 71)
Asymmetric unit:
1 Ho 0.0000 0.0000 0.0000 x2
2 Tm 0.0000 0.5000 0.1257 x4
3 Ge 0.0000 0.0000 0.2184 x4
4 Ge 0.0000 0.1872 0.5000 x4
5 Pd 0.0000 0.2983 0.3249 x8

Results
The total energy comes out at -5.700 eV/atom. The total magnetization comes out at 0.01 μB/f.u.

---

[8]
This record from the Open Quantum Materials Database describes a relaxed structure of ZnAgSeO. The functional is GGA-PBE.

abc: 3.4225 13.0138 5.8737
angles: 90.00 90.00 90.00
Space group Cmcm (No. 63)
Asymmetric unit:
1 Zn 0.0000 0.0973 0.2500 x4
2 Ag 0.0000 0.4062 0.2500 x4
3 Se 0.0000 0.2614 0.7500 x4
4 O 0.0000 0.0000 0.0000 x4

Results
The total energy comes out at -3.433 eV/atom. The calculation puts the polymorph energy (0 for the lowest one) at 24.31 kJ/mol of atoms.